Computed, not measured: an optimized crystal structure of CdCuAg at the PBE level of DFT.

ΔE to the lowest computed polymorph in kJ/mol of atoms: 6.00
Energy of formation from the pure elements in eV per atom: 0.1055
Symmetry: C2/m (12)
V in Å³/atom: 17.59

```
data_CdCuAg
_symmetry_space_group_name_H-M 'P 1'
_symmetry_Int_Tables_number 1
_symmetry_space_group_name_Hall 'P 1'
_cell_length_a 4.9013
_cell_length_b 4.9013
_cell_length_c 7.6367
_cell_angle_alpha 98.51
_cell_angle_beta 98.51
_cell_angle_gamma 35.61
loop_
_atom_site_label
_atom_site_fract_x
_atom_site_fract_y
_atom_site_fract_z
_atom_site_occupancy
Cd1 0.1467 0.1467 0.1023 1
Cd2 0.8533 0.8533 0.8977 1
Cu1 0.1114 0.1114 0.7283 1
Cu2 0.8886 0.8886 0.2717 1
Ag1 0.3743 0.3743 0.5780 1
Ag2 0.6257 0.6257 0.4220 1
```

Computed, not measured: an optimized crystal structure of KSr2Ca at the PBE level of DFT.

ΔE to the lowest computed polymorph in kJ/mol of atoms: 3.92
Energy of formation from the pure elements in eV per atom: 0.1058
Symmetry: Pmm2 (25)
V in Å³/atom: 54.33

```
data_KSr2Ca
_symmetry_space_group_name_H-M 'P 1'
_symmetry_Int_Tables_number 1
_symmetry_space_group_name_Hall 'P 1'
_cell_length_a 4.1727
_cell_length_b 6.0802
_cell_length_c 8.5652
_cell_angle_alpha 90.00
_cell_angle_beta 90.00
_cell_angle_gamma 90.00
loop_
_atom_site_label
_atom_site_fract_x
_atom_site_fract_y
_atom_site_fract_z
_atom_site_occupancy
K1 0.0000 0.0000 0.0000 1
Sr1 0.0000 0.0000 0.5144 1
Sr2 0.5000 0.5000 0.2666 1
Ca1 0.5000 0.5000 0.7403 1
```

Question: Which formula does entry 1 have?
Answer: CdCuAg